## CaHf3B (PBE-GGA)

Data for CaHf3B after structural relaxation.

Output
* space-group type: Pm-3m (221)
* distance to the lowest polymorph of the same formula: 245.0 kJ per mole of atoms
* ΔH_f (0 K): 1290 kJ/mol of formula units

Lattice parameters (Å, degrees): 4.9137 4.9137 4.9137 90.00 90.00 90.00
Last column: nearest neighbours and their distance in Å.
Positions (direct):
Hf: 0.0000 0.0000 0.5000  2 Ca 2.46
Hf: 0.5000 0.0000 0.0000  2 Ca 2.46
Hf: 0.0000 0.5000 0.0000  2 Ca 2.46
B: 0.5000 0.5000 0.5000  12 Hf 3.47
Ca: 0.0000 0.0000 0.0000  6 Hf 2.46

## TiAsO4 (PBE-GGA)

Data for TiAsO4 after structural relaxation.

Output
* ΔE_f (raw): -1789 meV/atom
* space-group type: P-42c (112)

Lattice parameters (Å, degrees): 4.8424 4.8424 8.8260 90.00 90.00 90.00
Last column: nearest neighbours and their distance in Å.
Positions (direct):
O: 0.8259 0.2643 0.1187  1 As 1.83, 1 Ti 1.86
O: 0.8259 0.7357 0.3813  1 As 1.83, 1 Ti 1.86
O: 0.7357 0.8259 0.8813  1 As 1.83, 1 Ti 1.86
O: 0.2643 0.1741 0.8813  1 As 1.83, 1 Ti 1.86
O: 0.1741 0.2643 0.3813  1 As 1.83, 1 Ti 1.86
O: 0.7357 0.1741 0.6187  1 As 1.83, 1 Ti 1.86
O: 0.1741 0.7357 0.1187  1 As 1.83, 1 Ti 1.86
O: 0.2643 0.8259 0.6187  1 As 1.83, 1 Ti 1.86
As: 0.5000 0.0000 0.7500  4 O 1.83
As: 0.0000 0.5000 0.2500  4 O 1.83
Ti: 0.0000 0.0000 0.0000  4 O 1.86
Ti: 0.0000 0.0000 0.5000  4 O 1.86

## UCd3 (PBE-GGA)

Data for UCd3 after structural relaxation.

Output
* space-group type: Pmm2 (25)
* ΔH_f (0 K): 87 kJ/mol of formula units

Lattice parameters (Å, degrees): 2.9257 5.2557 6.1570 90.00 90.00 90.00
Last column: nearest neighbours and their distance in Å.
Positions (direct):
Cd: 0.0000 0.0000 0.0035  6 Cd 2.93-3.22, 2 U 3.27
Cd: 0.5000 0.0000 0.5253  4 Cd 2.93-3.18, 4 U 3.26
Cd: 0.5000 0.5000 0.8172  8 Cd 2.93-3.22
U: 0.0000 0.5000 0.3206  2 U 2.93, 6 Cd 3.26-3.27